i) In6I5: optimized geometry, PBE-GGA.

As for the density of states at the Fermi level: 3.33 states/eV/f.u. For the spin magnetization, the calculation gives 0.000 μB/f.u. Its space-group type is C2/m, No. 12.

a b c (Å): 5.001 9.565 10.610
angles (deg): 116.78 103.61 90.05
Sites, in units of the cell vectors:
In  0.499  0.738  0.000
In  0.501  0.262  0.000
In  0.834  0.087  0.667
In  0.833  0.581  0.667
In  0.166  0.913  0.333
In  0.167  0.419  0.333
I  0.000  0.500  0.000
I  0.681  0.681  0.361
I  0.319  0.319  0.639
I  0.369  0.869  0.738
I  0.631  0.131  0.262

ii) In6I5: optimized geometry, PBE-GGA.

As for the density of states at the Fermi level: 2.13 states/eV/f.u. For the spin magnetization, the calculation gives 0.000 μB/f.u. Its space-group type is C2/m, No. 12.

a b c (Å): 7.867 8.350 8.042
angles (deg): 78.87 65.80 61.90
Sites, in units of the cell vectors:
In  0.811  0.000  0.704
In  0.189  0.000  0.296
In  0.326  0.715  0.789
In  0.959  0.715  0.211
In  0.674  0.285  0.211
In  0.041  0.285  0.789
I  0.500  0.000  0.500
I  0.354  0.293  0.000
I  0.646  0.707  0.000
I  0.216  0.568  0.500
I  0.784  0.432  0.500

In kJ/mol of atoms, relative to the most stable structure: i) 3.4; ii) 0.0.